# Si2C | Alexandria | PBE | relaxed
# - Calculated volume: 12.54 A^3/atom
# - Energy relative to the elements, uncorrected: 65.3 kJ/mol of atoms
# - Spin magnetization: 0.00 μB/f.u.
# - Symmetry: Immm (71)
data_Si2C
_space_group_name_H-M_alt 'P 1'
_space_group_IT_number 1
_space_group_name_Hall 'P 1'
_cell_length_a 4.736
_cell_length_b 4.736
_cell_length_c 4.736
_cell_angle_alpha 145.70
_cell_angle_beta 140.79
_cell_angle_gamma 53.06
loop_
_atom_site_label
_atom_site_fract_x
_atom_site_fract_y
_atom_site_fract_z
Si1 0.151 0.151 0.000
Si2 0.849 0.849 0.000
C1 0.000 0.500 0.500

# SiC | Alexandria | PBE | relaxed
# - Calculated volume: 17.23 A^3/atom
# - Energy relative to the elements, uncorrected: 28.3 kJ/mol of atoms
# - Spin magnetization: 0.00 μB/f.u.
# - Symmetry: Cmcm (63)
data_SiC
_space_group_name_H-M_alt 'P 1'
_space_group_IT_number 1
_space_group_name_Hall 'P 1'
_cell_length_a 3.097
_cell_length_b 3.097
_cell_length_c 8.300
_cell_angle_alpha 90.00
_cell_angle_beta 90.00
_cell_angle_gamma 120.03
loop_
_atom_site_label
_atom_site_fract_x
_atom_site_fract_y
_atom_site_fract_z
Si1 0.031 0.969 0.750
Si2 0.969 0.031 0.250
C1 0.364 0.636 0.750
C2 0.636 0.364 0.250

# SiC2 | Alexandria | PBE | relaxed
# - Calculated volume: 8.59 A^3/atom
# - Energy relative to the elements, uncorrected: 148.2 kJ/mol of atoms
# - Spin magnetization: 0.00 μB/f.u.
# - Symmetry: I4/mcm (140)
data_SiC2
_space_group_name_H-M_alt 'P 1'
_space_group_IT_number 1
_space_group_name_Hall 'P 1'
_cell_length_a 4.084
_cell_length_b 4.084
_cell_length_c 4.084
_cell_angle_alpha 113.99
_cell_angle_beta 113.99
_cell_angle_gamma 100.76
loop_
_atom_site_label
_atom_site_fract_x
_atom_site_fract_y
_atom_site_fract_z
Si1 0.250 0.250 0.000
Si2 0.750 0.750 0.000
C1 0.108 0.608 0.715
C2 0.392 0.108 0.500
C3 0.608 0.892 0.500
C4 0.892 0.392 0.285

# Si3C5 | Alexandria | PBE | relaxed
# - Calculated volume: 12.65 A^3/atom
# - Energy relative to the elements, uncorrected: 69.4 kJ/mol of atoms
# - Spin magnetization: 0.00 μB/f.u.
# - Symmetry: Cm (8)
data_Si3C5
_space_group_name_H-M_alt 'P 1'
_space_group_IT_number 1
_space_group_name_Hall 'P 1'
_cell_length_a 5.796
_cell_length_b 5.796
_cell_length_c 7.193
_cell_angle_alpha 96.57
_cell_angle_beta 96.57
_cell_angle_gamma 120.57
loop_
_atom_site_label
_atom_site_fract_x
_atom_site_fract_y
_atom_site_fract_z
Si1 0.000 0.000 0.000
Si2 0.116 0.116 0.365
Si3 0.423 0.970 0.749
Si4 0.432 0.681 0.157
Si5 0.681 0.432 0.157
Si6 0.970 0.423 0.749
C1 0.108 0.801 0.852
C2 0.293 0.691 0.910
C3 0.307 0.307 0.176
C4 0.328 0.978 0.493
C5 0.368 0.857 0.349
C6 0.691 0.293 0.910
C7 0.801 0.108 0.852
C8 0.811 0.811 0.184
C9 0.857 0.368 0.349
C10 0.978 0.328 0.493

# SiC | Alexandria | PBE | relaxed
# - Calculated volume: 8.49 A^3/atom
# - Energy relative to the elements, uncorrected: 55.8 kJ/mol of atoms
# - Spin magnetization: 0.00 μB/f.u.
# - Symmetry: P6_3/mmc (194)
data_SiC
_space_group_name_H-M_alt 'P 1'
_space_group_IT_number 1
_space_group_name_Hall 'P 1'
_cell_length_a 2.874
_cell_length_b 2.874
_cell_length_c 4.745
_cell_angle_alpha 90.00
_cell_angle_beta 90.00
_cell_angle_gamma 120.00
loop_
_atom_site_label
_atom_site_fract_x
_atom_site_fract_y
_atom_site_fract_z
Si1 0.000 0.000 0.000
Si2 0.000 0.000 0.500
C1 0.333 0.667 0.250
C2 0.667 0.333 0.750

# SiC | Alexandria | PBE | relaxed
# - Calculated volume: 12.36 A^3/atom
# - Energy relative to the elements, uncorrected: 105.6 kJ/mol of atoms
# - Spin magnetization: 0.00 μB/f.u.
# - Symmetry: Cmmm (65)
data_SiC
_space_group_name_H-M_alt 'P 1'
_space_group_IT_number 1
_space_group_name_Hall 'P 1'
_cell_length_a 3.586
_cell_length_b 3.586
_cell_length_c 2.728
_cell_angle_alpha 90.00
_cell_angle_beta 90.00
_cell_angle_gamma 135.17
loop_
_atom_site_label
_atom_site_fract_x
_atom_site_fract_y
_atom_site_fract_z
Si1 0.000 0.000 0.000
C1 0.500 0.500 0.500

# SiC | Alexandria | PBE | relaxed
# - Calculated volume: 9.83 A^3/atom
# - Energy relative to the elements, uncorrected: 124.1 kJ/mol of atoms
# - Spin magnetization: 0.08 μB/f.u.
# - Symmetry: Pm-3m (221)
data_SiC
_space_group_name_H-M_alt 'P 1'
_space_group_IT_number 1
_space_group_name_Hall 'P 1'
_cell_length_a 3.892
_cell_length_b 3.892
_cell_length_c 3.892
_cell_angle_alpha 90.00
_cell_angle_beta 90.00
_cell_angle_gamma 90.00
loop_
_atom_site_label
_atom_site_fract_x
_atom_site_fract_y
_atom_site_fract_z
Si1 0.000 0.000 0.500
Si2 0.000 0.500 0.000
Si3 0.500 0.000 0.000
C1 0.000 0.500 0.500
C2 0.500 0.000 0.500
C3 0.500 0.500 0.000

# Si4C3 | Alexandria | PBE | relaxed
# - Calculated volume: 10.10 A^3/atom
# - Energy relative to the elements, uncorrected: 104.0 kJ/mol of atoms
# - Spin magnetization: 0.00 μB/f.u.
# - Symmetry: I4/mmm (139)
data_Si4C3
_space_group_name_H-M_alt 'P 1'
_space_group_IT_number 1
_space_group_name_Hall 'P 1'
_cell_length_a 9.190
_cell_length_b 9.190
_cell_length_c 9.190
_cell_angle_alpha 162.43
_cell_angle_beta 162.43
_cell_angle_gamma 24.95
loop_
_atom_site_label
_atom_site_fract_x
_atom_site_fract_y
_atom_site_fract_z
Si1 0.067 0.067 0.000
Si2 0.308 0.308 0.000
Si3 0.692 0.692 0.000
Si4 0.933 0.933 0.000
C1 0.189 0.189 0.000
C2 0.500 0.500 0.000
C3 0.811 0.811 0.000

# SiC5 | Alexandria | PBE | relaxed
# - Calculated volume: 9.64 A^3/atom
# - Energy relative to the elements, uncorrected: 87.4 kJ/mol of atoms
# - Spin magnetization: 0.00 μB/f.u.
# - Symmetry: Cm (8)
data_SiC5
_space_group_name_H-M_alt 'P 1'
_space_group_IT_number 1
_space_group_name_Hall 'P 1'
_cell_length_a 3.738
_cell_length_b 3.738
_cell_length_c 6.069
_cell_angle_alpha 90.90
_cell_angle_beta 90.90
_cell_angle_gamma 43.03
loop_
_atom_site_label
_atom_site_fract_x
_atom_site_fract_y
_atom_site_fract_z
Si1 0.000 0.000 0.000
C1 0.419 0.419 0.656
C2 0.433 0.433 0.424
C3 0.453 0.453 0.217
C4 0.609 0.609 0.805
C5 0.814 0.814 0.759

# SiC2 | Alexandria | PBE | relaxed
# - Calculated volume: 10.01 A^3/atom
# - Energy relative to the elements, uncorrected: 53.7 kJ/mol of atoms
# - Spin magnetization: 0.00 μB/f.u.
# - Symmetry: Cm (8)
data_SiC2
_space_group_name_H-M_alt 'P 1'
_space_group_IT_number 1
_space_group_name_Hall 'P 1'
_cell_length_a 4.429
_cell_length_b 4.429
_cell_length_c 3.017
_cell_angle_alpha 109.72
_cell_angle_beta 109.72
_cell_angle_gamma 32.81
loop_
_atom_site_label
_atom_site_fract_x
_atom_site_fract_y
_atom_site_fract_z
Si1 0.000 0.000 0.000
C1 0.170 0.170 0.671
C2 0.762 0.762 0.760

# Si2C | Alexandria | PBE | relaxed
# - Calculated volume: 10.78 A^3/atom
# - Energy relative to the elements, uncorrected: 63.8 kJ/mol of atoms
# - Spin magnetization: 0.00 μB/f.u.
# - Symmetry: R3m (160)
data_Si2C
_space_group_name_H-M_alt 'P 1'
_space_group_IT_number 1
_space_group_name_Hall 'P 1'
_cell_length_a 4.703
_cell_length_b 4.703
_cell_length_c 4.703
_cell_angle_alpha 36.12
_cell_angle_beta 36.12
_cell_angle_gamma 36.12
loop_
_atom_site_label
_atom_site_fract_x
_atom_site_fract_y
_atom_site_fract_z
Si1 0.000 0.000 0.000
Si2 0.184 0.184 0.184
C1 0.750 0.750 0.750

# SiC | Alexandria | PBE | relaxed
# - Calculated volume: 10.50 A^3/atom
# - Energy relative to the elements, uncorrected: -19.9 kJ/mol of atoms
# - Spin magnetization: 0.00 μB/f.u.
# - Symmetry: P3m1 (156)
data_SiC
_space_group_name_H-M_alt 'P 1'
_space_group_IT_number 1
_space_group_name_Hall 'P 1'
_cell_length_a 3.094
_cell_length_b 3.094
_cell_length_c 25.315
_cell_angle_alpha 90.00
_cell_angle_beta 90.00
_cell_angle_gamma 120.00
loop_
_atom_site_label
_atom_site_fract_x
_atom_site_fract_y
_atom_site_fract_z
Si1 0.000 0.000 0.000
Si2 0.000 0.000 0.200
Si3 0.000 0.000 0.400
Si4 0.000 0.000 0.600
Si5 0.333 0.667 0.100
Si6 0.333 0.667 0.500
Si7 0.333 0.667 0.800
Si8 0.667 0.333 0.300
Si9 0.667 0.333 0.700
Si10 0.667 0.333 0.900
C1 0.000 0.000 0.075
C2 0.000 0.000 0.275
C3 0.000 0.000 0.475
C4 0.000 0.000 0.675
C5 0.333 0.667 0.175
C6 0.333 0.667 0.575
C7 0.333 0.667 0.875
C8 0.667 0.333 0.375
C9 0.667 0.333 0.775
C10 0.667 0.333 0.975